# 1
The following is a PBE-GGA calculation of Cs2Pr2SeO3 after structural relaxation, from the Open Quantum Materials Database.

The total magnetization comes out at 0.0 μB/cell. The total energy is -0.21734 Ha/atom.

The structure belongs to space group P3m1 (No. 156); the cell edges are 3.8396, 3.8396 and 14.6417 Å and the angles 90.00°, 90.00° and 120.00°. The inequivalent atoms are Cs at (0.0000, 0.0000, 0.0000), Cs at (0.3333, 0.6667, 0.5390), Pr at (0.6667, 0.3333, 0.2355), Pr at (0.6667, 0.3333, 0.7721), Se at (0.0000, 0.0000, 0.3664), O at (0.0000, 0.0000, 0.6992), O at (0.3333, 0.6667, 0.1647) and O at (0.3333, 0.6667, 0.8556).

# 2
The following is a PBE-GGA calculation of CsPrTeO after structural relaxation, from the Open Quantum Materials Database.

The total magnetization comes out at 0.0 μB/cell. The energy above the most stable polymorph in this dataset comes out at 0 meV per atom.

The structure belongs to space group P2_1/c (No. 14); the cell edges are 9.749, 7.842 and 7.021 Å and the angles 90.00°, 98.65° and 90.00°. The inequivalent atoms are Cs at (0.129, 0.091, 0.333), Pr at (0.490, 0.638, 0.789), Te at (0.259, 0.574, 0.379) and O at (0.431, 0.140, 0.387).

# 3
The following is a PBE-GGA calculation of CsPrTeO after structural relaxation, from the Open Quantum Materials Database.

The total magnetization comes out at 0.0 μB/cell. The energy above the most stable polymorph in this dataset comes out at 301 meV per atom.

The structure belongs to space group P4/nmm (No. 129, origin choice 2); the cell edges are 4.586, 4.586 and 11.055 Å and the angles 90.00°, 90.00° and 90.00°. The inequivalent atoms are Cs at (0.250, 0.750, 0.000), Pr at (0.250, 0.250, 0.419), Te at (0.250, 0.250, 0.751) and O at (0.250, 0.750, 0.500).

# 4
The following is a PBE-GGA calculation of CsPrTeO after structural relaxation, from the Open Quantum Materials Database.

The total magnetization comes out at 0.0 μB/cell. The energy above the most stable polymorph in this dataset comes out at 150 meV per atom.

The structure belongs to space group Pmc2_1 (No. 26); the cell edges are 5.078, 9.164 and 7.370 Å and the angles 90.00°, 90.00° and 90.00°. The inequivalent atoms are Cs at (0.000, 0.207, 0.000), Pr at (0.500, 0.392, 0.416), Te at (0.000, 0.208, 0.505) and O at (0.500, 0.426, 0.114).

# 5
The following is a PBE-GGA calculation of Cs2PrYO4 after structural relaxation, from the Open Quantum Materials Database.

The total magnetization comes out at 0.0 μB/cell. The total energy is -0.24341 Ha/atom.

The structure belongs to space group P-3m1 (No. 164); the cell edges are 3.6056, 3.6056 and 13.6153 Å and the angles 90.00°, 90.00° and 120.00°. The inequivalent atoms are Cs at (0.3333, 0.6667, 0.2465), Pr at (0.0000, 0.0000, 0.5000), Y at (0.0000, 0.0000, 0.0000), O at (0.3333, 0.6667, 0.5904) and O at (0.3333, 0.6667, 0.9189).

# 6
The following is a PBE-GGA calculation of Cs2Pt2O5 after structural relaxation, from the Open Quantum Materials Database.

The total magnetization comes out at 1.2 μB/cell. The total energy is -0.17735 Ha/atom.

The structure belongs to space group P4/mmm (No. 123); the cell edges are 3.951, 3.951 and 9.569 Å and the angles 90.00°, 90.00° and 90.00°. The inequivalent atoms are Cs at (0.000, 0.000, 0.000), Cs at (0.000, 0.000, 0.500), Pt at (0.500, 0.500, 0.225), O at (0.000, 0.500, 0.261) and O at (0.500, 0.500, 0.000).

Q: Number 6 is which compound?
A: Cs2Pt2O5

Q: Among the records above, which one has the highest total magnetization?
A: Cs2Pt2O5

Copy entry 1 word for word.
The following is a PBE-GGA calculation of Cs2Pr2SeO3 after structural relaxation, from the Open Quantum Materials Database.

The total magnetization comes out at 0.0 μB/cell. The total energy is -0.21734 Ha/atom.

The structure belongs to space group P3m1 (No. 156); the cell edges are 3.8396, 3.8396 and 14.6417 Å and the angles 90.00°, 90.00° and 120.00°. The inequivalent atoms are Cs at (0.0000, 0.0000, 0.0000), Cs at (0.3333, 0.6667, 0.5390), Pr at (0.6667, 0.3333, 0.2355), Pr at (0.6667, 0.3333, 0.7721), Se at (0.0000, 0.0000, 0.3664), O at (0.0000, 0.0000, 0.6992), O at (0.3333, 0.6667, 0.1647) and O at (0.3333, 0.6667, 0.8556).

Q: The highest total magnetization belongs to which entry?
A: Cs2Pt2O5